w.
First-principles (PBE-GGA) data for an optimized crystal structure of Ga2BiSb2, as listed in Alexandria.

Structure (POSCAR):
```
Ga2BiSb2
1.0
8.8817 0.0000 0.0000
0.0000 8.8817 0.0000
0.0000 0.0000 3.3538
Bi Ga Sb
2 4 4
Direct
0.0000 0.0000 0.0000 Bi
0.5000 0.5000 0.0000 Bi
0.6244 0.8756 0.5000 Ga
0.1244 0.6244 0.5000 Ga
0.3756 0.1244 0.5000 Ga
0.8756 0.3756 0.5000 Ga
0.8273 0.6727 0.0000 Sb
0.1727 0.3273 0.0000 Sb
0.3273 0.8273 0.0000 Sb
0.6727 0.1727 0.0000 Sb
```

=====

x.
First-principles (PBE-GGA) data for an optimized crystal structure of Ga2BiSb2, as listed in Alexandria.

Structure (POSCAR):
```
Ga2BiSb2
1.0
-3.8078 2.4279 3.0507
-0.6368 -4.5942 2.8615
0.8935 0.2476 5.7861
Ga Sb Bi
2 2 1
Direct
0.3578 0.3578 0.2845 Ga
0.6422 0.6422 0.7155 Ga
0.7500 0.2500 0.5000 Sb
0.2500 0.7500 0.5000 Sb
0.0000 0.0000 0.0000 Bi
```

=====

Of them, the most stable is w and the least stable is x.

=====

w.
First-principles (PBE-GGA) data for an optimized crystal structure of GaBiSb2Te, as listed in Alexandria.

Structure (POSCAR):
```
GaBiSb2Te
1.0
-3.7933 -1.5229 4.1683
4.4331 -1.0485 3.6512
-0.2122 5.7635 1.9127
Sb Bi Ga Te
2 1 1 1
Direct
0.0000 0.5000 0.0000 Sb
0.5000 0.0000 0.0000 Sb
0.0000 0.0000 0.0000 Bi
0.5000 0.5000 0.5000 Ga
0.0000 0.0000 0.5000 Te
```

=====

x.
First-principles (PBE-GGA) data for an optimized crystal structure of GaBiSb2Te, as listed in Alexandria.

Structure (POSCAR):
```
GaBiSb2Te
1.0
5.3612 0.0000 0.0000
0.0000 5.3612 0.0000
0.0000 0.0000 5.3090
Bi Ga Te Sb
1 1 1 2
Direct
0.5000 0.5000 0.5000 Bi
0.0000 0.0000 0.0000 Ga
0.0000 0.0000 0.5000 Te
0.0000 0.5000 0.0000 Sb
0.5000 0.0000 0.0000 Sb
```

=====

Of them, the most stable is x and the least stable is w.

=====

w.
First-principles (PBE-GGA) data for an optimized crystal structure of Sc2GaBi, as listed in Alexandria.

Structure (POSCAR):
```
Sc2GaBi
1.0
-3.0887 0.9485 -1.7975
-1.7020 -2.4582 -2.1751
-6.0058 -2.9919 4.9383
Bi Sc Ga
1 2 1
Direct
0.5000 0.5000 0.5000 Bi
0.7417 0.7417 0.7749 Sc
0.2583 0.2583 0.2251 Sc
0.0000 0.0000 0.0000 Ga
```

=====

x.
First-principles (PBE-GGA) data for an optimized crystal structure of Sc2GaBi, as listed in Alexandria.

Structure (POSCAR):
```
Sc2GaBi
1.0
7.7151 0.0000 0.0000
0.0000 7.7151 0.0000
3.8575 3.8575 3.2427
Sc Ga Bi
4 2 2
Direct
0.6045 0.1250 0.2500 Sc
0.1455 0.6250 0.2500 Sc
0.3750 0.3955 0.7500 Sc
0.8750 0.8545 0.7500 Sc
0.2500 0.7500 0.5000 Ga
0.5000 0.5000 0.0000 Ga
0.7500 0.2500 0.5000 Bi
0.0000 0.0000 0.0000 Bi
```

=====

Of them, the most stable is w and the least stable is x.

=====

w.
First-principles (PBE-GGA) data for an optimized crystal structure of Sc2GaBi, as listed in Alexandria.

Structure (POSCAR):
```
Sc2GaBi
1.0
4.1818 0.0000 0.0000
0.0000 4.6128 0.0000
0.0000 0.0000 4.6128
Sc Bi Ga
2 1 1
Direct
0.0000 0.5000 0.0000 Sc
0.0000 0.0000 0.5000 Sc
0.5000 0.5000 0.5000 Bi
0.5000 0.0000 0.0000 Ga
```

=====

x.
First-principles (PBE-GGA) data for an optimized crystal structure of Sc2GaBi, as listed in Alexandria.

Structure (POSCAR):
```
Sc2GaBi
1.0
1.9844 0.0000 9.9535
-0.9922 1.7185 9.9535
-0.9922 -1.7185 9.9535
Sc Ga Bi
2 1 1
Direct
0.9002 0.9002 0.9002 Sc
0.0998 0.0998 0.0998 Sc
0.5000 0.5000 0.5000 Ga
0.0000 0.0000 0.0000 Bi
```

=====

y.
First-principles (PBE-GGA) data for an optimized crystal structure of Sc2GaBi, as listed in Alexandria.

Structure (POSCAR):
```
Sc2GaBi
1.0
-2.2408 -0.2743 4.5213
0.9895 3.4824 3.5260
-3.5349 3.3781 1.2772
Sc Ga Bi
2 1 1
Direct
0.2500 0.2500 0.2500 Sc
0.7500 0.7500 0.7500 Sc
0.0000 0.0000 0.0000 Ga
0.5000 0.5000 0.5000 Bi
```

=====

z.
First-principles (PBE-GGA) data for an optimized crystal structure of Sc2GaBi, as listed in Alexandria.

Structure (POSCAR):
```
Sc2GaBi
1.0
4.0640 0.0000 0.0000
0.0000 4.1571 -0.7383
0.0000 -0.1400 11.2838
Ga Sc Bi
2 4 2
Direct
0.2500 0.4624 0.9247 Ga
0.7500 0.5376 0.0753 Ga
0.7500 0.9421 0.8843 Sc
0.2500 0.3308 0.6616 Sc
0.7500 0.6692 0.3384 Sc
0.2500 0.0579 0.1157 Sc
0.7500 0.8086 0.6172 Bi
0.2500 0.1914 0.3828 Bi
```

=====

Of them, the most stable is z and the least stable is x.

=====

w.
First-principles (PBE-GGA) data for an optimized crystal structure of ScGaBi, as listed in Alexandria.

Structure (POSCAR):
```
ScGaBi
1.0
-4.0231 0.4269 0.8470
-0.5119 -8.9055 2.0575
2.0373 1.8978 8.7208
Sc Ga Bi
4 4 4
Direct
0.0000 0.4890 0.6954 Sc
0.5000 0.3046 0.4890 Sc
0.5000 0.6954 0.5110 Sc
0.0000 0.5110 0.3046 Sc
0.5000 0.3003 0.8086 Ga
0.0000 0.8086 0.6997 Ga
0.0000 0.1914 0.3003 Ga
0.5000 0.6997 0.1914 Ga
0.5000 0.3204 0.1231 Bi
0.5000 0.6796 0.8769 Bi
0.0000 0.8769 0.3204 Bi
0.0000 0.1231 0.6796 Bi
```

=====

x.
First-principles (PBE-GGA) data for an optimized crystal structure of ScGaBi, as listed in Alexandria.

Structure (POSCAR):
```
ScGaBi
1.0
4.0132 0.0000 0.0000
0.0000 4.6249 0.0000
0.0000 -2.3124 4.0053
Bi Ga Sc
1 1 1
Direct
0.6921 0.6667 0.3333 Bi
0.0537 0.0000 0.0000 Ga
0.2542 0.3333 0.6667 Sc
```

=====

Of them, the most stable is x and the least stable is w.

=====

w.
First-principles (PBE-GGA) data for an optimized crystal structure of Sc2GaBi2, as listed in Alexandria.

Structure (POSCAR):
```
Sc2GaBi2
1.0
-6.8992 -1.8619 -2.8218
0.4021 -6.8191 3.5165
-1.8456 1.6550 3.4203
Sc Ga Bi
4 2 4
Direct
0.6516 0.1516 0.0000 Sc
0.1516 0.3484 0.0000 Sc
0.8484 0.6516 0.0000 Sc
0.3484 0.8484 0.0000 Sc
0.5000 0.5000 0.0000 Ga
0.0000 0.0000 0.0000 Ga
0.8392 0.3392 0.5000 Bi
0.3392 0.1608 0.5000 Bi
0.1608 0.6608 0.5000 Bi
0.6608 0.8392 0.5000 Bi
```

=====

x.
First-principles (PBE-GGA) data for an optimized crystal structure of Sc2GaBi2, as listed in Alexandria.

Structure (POSCAR):
```
Sc2GaBi2
1.0
8.1633 0.0000 0.0000
0.0000 8.1633 0.0000
0.0000 0.0000 3.9251
Sc Bi Ga
4 4 2
Direct
0.3500 0.1500 0.5000 Sc
0.6500 0.8500 0.5000 Sc
0.1500 0.6500 0.5000 Sc
0.8500 0.3500 0.5000 Sc
0.6515 0.1515 0.0000 Bi
0.8485 0.6515 0.0000 Bi
0.1515 0.3485 0.0000 Bi
0.3485 0.8485 0.0000 Bi
0.5000 0.5000 0.0000 Ga
0.0000 0.0000 0.0000 Ga
```

=====

Of them, the most stable is w and the least stable is x.

=====

w.
First-principles (PBE-GGA) data for an optimized crystal structure of GaBiSe, as listed in Alexandria.

Structure (POSCAR):
```
GaBiSe
1.0
3.6105 0.0000 0.0000
-1.8053 3.1268 0.0000
0.0000 0.0000 7.3025
Ga Se Bi
1 1 1
Direct
0.3333 0.6667 0.6183 Ga
0.6667 0.3333 0.4347 Se
0.0000 0.0000 0.9470 Bi
```

=====

x.
First-principles (PBE-GGA) data for an optimized crystal structure of GaBiSe, as listed in Alexandria.

Structure (POSCAR):
```
GaBiSe
1.0
3.6394 0.0004 0.4242
1.7939 3.1666 0.4242
-0.1550 -0.0904 7.8831
Ga Se Bi
1 1 1
Direct
0.2489 0.2489 0.5102 Ga
0.8934 0.8934 0.6710 Se
0.2980 0.2980 0.1595 Bi
```

=====

y.
First-principles (PBE-GGA) data for an optimized crystal structure of GaBiSe, as listed in Alexandria.

Structure (POSCAR):
```
GaBiSe
1.0
3.8404 0.0000 0.0000
0.0000 5.7237 0.0000
-1.9202 0.0000 7.6564
Se Bi Ga
2 2 2
Direct
0.9159 0.9798 0.8318 Se
0.0841 0.4798 0.1682 Se
0.6175 0.8598 0.2350 Bi
0.3825 0.3598 0.7650 Bi
0.7931 0.7015 0.5861 Ga
0.2069 0.2015 0.4139 Ga
```

=====

Of them, the most stable is x and the least stable is y.

=====

w.
First-principles (PBE-GGA) data for an optimized crystal structure of Ga2BiSe, as listed in Alexandria.

Structure (POSCAR):
```
Ga2BiSe
1.0
3.6241 0.0000 0.0000
1.8121 3.1386 0.0000
1.8121 1.0462 9.3458
Bi Ga Se
1 2 1
Direct
0.0000 0.0000 0.0000 Bi
0.1057 0.1057 0.6828 Ga
0.8943 0.8943 0.3172 Ga
0.5000 0.5000 0.5000 Se
```

=====

x.
First-principles (PBE-GGA) data for an optimized crystal structure of Ga2BiSe, as listed in Alexandria.

Structure (POSCAR):
```
Ga2BiSe
1.0
-0.1019 3.4379 -1.6130
0.9652 0.4146 -3.6507
-7.1395 0.0784 -3.8551
Ga Bi Se
2 1 1
Direct
0.2618 0.2618 0.2146 Ga
0.0705 0.0705 0.7885 Ga
0.4983 0.4983 0.5052 Bi
0.6695 0.6695 0.9916 Se
```

=====

y.
First-principles (PBE-GGA) data for an optimized crystal structure of Ga2BiSe, as listed in Alexandria.

Structure (POSCAR):
```
Ga2BiSe
1.0
-1.1550 1.7159 -5.9384
-0.5991 -6.0439 -1.6299
-7.1397 -1.8928 -2.4877
Bi Ga Se
2 4 2
Direct
0.7500 0.2500 0.5000 Bi
0.0000 0.0000 0.0000 Bi
0.6034 0.1250 0.2500 Ga
0.1466 0.6250 0.2500 Ga
0.8750 0.8534 0.7500 Ga
0.3750 0.3966 0.7500 Ga
0.2500 0.7500 0.5000 Se
0.5000 0.5000 0.0000 Se
```

=====

z.
First-principles (PBE-GGA) data for an optimized crystal structure of Ga2BiSe, as listed in Alexandria.

Structure (POSCAR):
```
Ga2BiSe
1.0
4.4955 -2.4171 0.3463
1.9366 -1.1543 4.5923
0.1721 -4.8716 1.5525
Se Bi Ga
1 1 2
Direct
0.0000 0.0000 0.0000 Se
0.5000 0.5000 0.5000 Bi
0.7500 0.7500 0.7500 Ga
0.2500 0.2500 0.2500 Ga
```

=====

Of them, the most stable is y and the least stable is z.